A) Compound: CsRbCd2Hg
Source: Alexandria
Functional: PBE
Structure: optimized geometry

DOS at the Fermi energy   2.36 states/eV per cell
Symmetry   P4/mmm, No. 123

Cell lengths 6.002, 6.002, 6.654 Å; angles 90.00, 90.00, 90.00 degrees
Element x y z (fractional)
Cd 0.000 0.500 0.000
Cd 0.500 0.000 0.000
Cs 0.000 0.000 0.500
Hg 0.000 0.000 0.000
Rb 0.500 0.500 0.500



B) Compound: CsRbCd2Hg
Source: Alexandria
Functional: PBE
Structure: optimized geometry

DOS at the Fermi energy   3.01 states/eV per cell
Symmetry   P4/mmm, No. 123

Cell lengths 6.015, 6.015, 6.524 Å; angles 90.00, 90.00, 90.00 degrees
Element x y z (fractional)
Rb 0.000 0.000 0.500
Cd 0.500 0.000 0.000
Cd 0.000 0.500 0.000
Hg 0.000 0.000 0.000
Cs 0.500 0.500 0.500



C) Compound: CsRbCd2Hg
Source: Alexandria
Functional: PBE
Structure: optimized geometry

DOS at the Fermi energy   3.35 states/eV per cell
Symmetry   Imm2, No. 44

Cell lengths 4.775, 6.031, 8.702 Å; angles 110.27, 105.92, 90.00 degrees
Element x y z (fractional)
Cs 0.422 0.422 0.845
Cd 0.056 0.056 0.112
Cd 0.679 0.179 0.358
Hg 0.864 0.864 0.729
Rb 0.191 0.691 0.381



Name the most stable of them. C).